(1)
GdDyMgMn | PBE-GGA | relaxed

volume = 24.93 A^3/atom
total moment = 10.506 μB/f.u.
formation energy from the elements = 0.11 eV/atom
E = -7.247 eV per atom
SG = No. 216

Cell lengths 5.2051, 5.2051, 5.2051 Å; angles 60.00, 60.00, 60.00 degrees
Element x y z (fractional)
Mg (0.0000, 0.0000, 0.0000)
Gd (0.7500, 0.7500, 0.7500)
Dy (0.2500, 0.2500, 0.2500)
Mn (0.5000, 0.5000, 0.5000)

=====

(2)
GdDyPuMg | PBE-GGA | relaxed

volume = 28.91 A^3/atom
total moment = 13.528 μB/f.u.
formation energy from the elements = 0.14 eV/atom
E = -8.510 eV per atom
SG = No. 216

Cell lengths 5.4683, 5.4683, 5.4683 Å; angles 60.00, 60.00, 60.00 degrees
Element x y z (fractional)
Pu (0.7500, 0.7500, 0.7500)
Gd (0.5000, 0.5000, 0.5000)
Dy (0.0000, 0.0000, 0.0000)
Mg (0.2500, 0.2500, 0.2500)

=====

(3)
GdDyMgSi | PBE-GGA | relaxed

volume = 23.49 A^3/atom
total moment = 7.351 μB/f.u.
formation energy from raw total energies = -1.16 eV/f.u.
E = -6.716 eV per atom
SG = No. 216

Cell lengths 5.1032, 5.1032, 5.1032 Å; angles 60.00, 60.00, 60.00 degrees
Element x y z (fractional)
Mg (0.7500, 0.7500, 0.7500)
Gd (0.0000, 0.0000, 0.0000)
Si (0.2500, 0.2500, 0.2500)
Dy (0.5000, 0.5000, 0.5000)